1.
Cr3CN: relaxed, PBEsol.

```
5
Lattice="3.7206 0.0000 0.0000 0.0000 3.7206 0.0000 0.0000 0.0000 3.7206" Properties=species:S:1:pos:R:3 pbc="T T T"
Cr 0.0000 0.0000 1.8603
Cr 0.0000 1.8603 0.0000
Cr 1.8603 0.0000 0.0000
C 0.0000 0.0000 0.0000
N 1.8603 1.8603 1.8603
```

Computed properties:
Energy relative to the elements, uncorrected: 0.964 eV per atom
Raw total energy: -44.08 eV per formula unit
Symmetry: Pm-3m

---

2.
CrCN2O: relaxed, PBEsol.

```
5
Lattice="3.7384 0.0000 0.0000 0.0000 3.7384 0.0000 0.0000 0.0000 3.4546" Properties=species:S:1:pos:R:3 pbc="T T T"
Cr 0.0000 0.0000 0.0000
C 1.8692 1.8692 1.7273
N 0.0000 1.8692 0.0000
N 1.8692 0.0000 0.0000
O 0.0000 0.0000 1.7273
```

Computed properties:
Energy relative to the elements, uncorrected: 1.531 eV per atom
Raw total energy: -34.54 eV per formula unit
Symmetry: P4/mmm

---

3.
CrCSN2: relaxed, PBEsol.

```
5
Lattice="3.4403 0.0000 0.0000 0.0000 3.4403 0.0000 0.0000 0.0000 3.8263" Properties=species:S:1:pos:R:3 pbc="T T T"
Cr 0.0000 0.0000 0.0000
C 1.7201 1.7201 1.9131
S 1.7201 1.7201 0.0000
N 0.0000 1.7201 1.9131
N 1.7201 0.0000 1.9131
```

Computed properties:
Energy relative to the elements, uncorrected: 1.726 eV per atom
Raw total energy: -32.69 eV per formula unit
Symmetry: P4/mmm

---

4.
NaCrC2: relaxed, PBEsol.

```
4
Lattice="0.0000 2.6587 2.6587 2.6587 0.0000 2.6587 2.6587 2.6587 0.0000" Properties=species:S:1:pos:R:3 pbc="T T T"
Na 0.0000 0.0000 0.0000
Cr 2.6587 2.6587 2.6587
C 1.3294 1.3294 1.3294
C 3.9881 3.9881 3.9881
```

Computed properties:
Calculated formation energy: 1737 meV per atom
Raw total energy: -23.98 eV per formula unit
Symmetry: Fm-3m

---

5.
Na2CrPCO7: relaxed, PBEsol.

```
24
Lattice="5.1546 0.0000 0.0000 0.0000 6.4220 0.0000 -0.2768 0.0000 8.8990" Properties=species:S:1:pos:R:3 pbc="T T T"
Na 1.1618 0.0645 2.3577
Na 1.1618 3.1465 2.3577
Na 3.7160 3.2754 6.5413
Na 3.7160 6.3575 6.5413
Cr 0.8580 1.6055 7.5658
Cr 4.0198 4.8165 1.3332
P 1.2082 4.8165 8.2350
P 3.6695 1.6055 0.6640
C 1.2652 1.6055 5.1853
C 3.6126 4.8165 3.7137
O 0.0731 1.6055 5.7350
O 0.7406 4.8165 0.6927
O 0.8163 3.5762 7.4055
O 0.8163 6.0568 7.4055
O 1.4878 1.6055 3.9604
O 2.1279 1.6055 0.4041
O 2.2127 1.6055 6.1075
O 2.6650 4.8165 2.7915
O 2.7499 4.8165 8.4949
O 3.3899 4.8165 4.9386
O 4.0615 0.3652 1.4935
O 4.0615 2.8458 1.4935
O 4.1372 1.6055 8.2063
O 4.8047 4.8165 3.1640
```

Computed properties:
Energy relative to the elements, uncorrected: -1.974 eV per atom
Raw total energy: -88.91 eV per formula unit
Symmetry: P2_1/m

---

6.
Na4Cr2PC4O16: relaxed, PBEsol.

```
54
Lattice="0.0000 6.8219 6.9918 6.7841 0.0000 6.9918 6.7841 6.8219 0.0000" Properties=species:S:1:pos:R:3 pbc="T T T"
Na 5.0881 1.1561 5.2438
Na 9.0250 5.1165 5.2438
Na 8.4801 4.5671 8.7397
Na 12.4170 8.5274 8.7397
Na 1.1512 5.1165 5.2438
Na 5.0881 9.0768 5.2438
Na 4.5432 8.5274 8.7397
Na 8.4801 12.4878 8.7397
Cr 6.7841 3.4110 3.4959
Cr 3.3920 6.8219 3.4959
Cr 3.3920 3.4110 6.9918
Cr 6.7841 6.8219 6.9918
P 1.6960 1.7055 1.7479
P 11.8721 11.9384 12.2356
C 6.2832 3.9293 6.4243
C 6.2832 6.3036 4.0634
C 3.8929 3.9293 4.0634
C 9.6752 7.3403 7.5593
C 3.8929 6.3036 6.4243
C 9.6752 9.7146 9.9201
C 7.2850 7.3403 9.9201
C 7.2850 9.7146 7.5593
O 2.5950 0.8001 2.6209
O 0.7970 0.8001 0.8749
O 2.5950 2.6109 0.8749
O 4.8612 3.0891 3.8423
O 7.0559 3.7647 5.4077
O 6.4971 5.3409 3.2310
O 5.3149 3.0891 6.6453
O 7.0559 6.4682 5.0799
O 3.6790 4.8920 3.2310
O 0.7970 2.6109 2.6209
O 8.7069 6.5000 7.3382
O 9.8891 8.3029 6.7269
O 10.4479 7.1757 8.5758
O 6.4971 4.8920 7.2567
O 5.3149 7.1438 3.8423
O 3.1203 3.7647 5.0799
O 10.4479 9.8792 8.9036
O 8.2533 6.5000 10.1412
O 7.0711 8.7519 6.7269
O 3.1203 6.4682 5.4077
O 3.6790 5.3409 7.2567
O 4.8612 7.1438 6.6453
O 12.7711 11.0330 11.3626
O 9.8891 8.7519 10.7525
O 6.5123 7.1757 8.9036
O 8.2533 10.5548 7.3382
O 7.0711 8.3029 10.7525
O 6.5123 9.8792 8.5758
O 8.7069 10.5548 10.1412
O 10.9731 11.0330 13.1086
O 12.7711 12.8438 13.1086
O 10.9731 12.8438 11.3626
```

Computed properties:
Energy relative to the elements, uncorrected: -1.658 eV per atom
Raw total energy: -199.21 eV per formula unit
Symmetry: Fddd

---

7.
Na6Cr2PC4O16: relaxed, PBEsol.

```
58
Lattice="0.0000 6.9077 6.9077 6.9077 0.0000 6.9077 6.9077 6.9077 0.0000" Properties=species:S:1:pos:R:3 pbc="T T T"
Na 5.1808 5.1808 1.1288
Na 5.1808 1.1288 5.1808
Na 9.2327 5.1808 5.1808
Na 8.6346 8.6346 4.5827
Na 8.6346 4.5827 8.6346
Na 12.6866 8.6346 8.6346
Na 1.1288 5.1808 5.1808
Na 5.1808 9.2327 5.1808
Na 5.1808 5.1808 9.2327
Na 4.5827 8.6346 8.6346
Na 8.6346 12.6866 8.6346
Na 8.6346 8.6346 12.6866
Cr 6.9077 3.4539 3.4539
Cr 3.4539 6.9077 3.4539
Cr 3.4539 3.4539 6.9077
Cr 6.9077 6.9077 6.9077
P 1.7269 1.7269 1.7269
P 12.0885 12.0885 12.0885
C 3.9398 3.9398 3.9398
C 6.4218 6.4218 3.9398
C 6.4218 3.9398 6.4218
C 9.8756 7.3937 7.3937
C 3.9398 6.4218 6.4218
C 7.3937 9.8756 7.3937
C 7.3937 7.3937 9.8756
C 9.8756 9.8756 9.8756
O 0.8286 0.8286 0.8286
O 2.6253 2.6253 0.8286
O 2.6253 0.8286 2.6253
O 6.6153 5.4359 3.1197
O 4.9257 3.1197 3.7463
O 7.2419 3.7463 5.4359
O 3.7463 4.9257 3.1197
O 7.2419 6.6153 4.9257
O 5.4359 3.1197 6.6153
O 0.8286 2.6253 2.6253
O 10.0692 8.3795 6.5736
O 8.8897 6.5736 7.2001
O 10.6957 7.2001 8.3795
O 5.4359 7.2419 3.7463
O 3.1197 3.7463 4.9257
O 6.6153 4.9257 7.2419
O 7.2001 8.8897 6.5736
O 10.6957 10.0692 8.8897
O 8.3795 6.5736 10.0692
O 3.1197 6.6153 5.4359
O 4.9257 7.2419 6.6153
O 3.7463 5.4359 7.2419
O 12.9868 11.1902 11.1902
O 8.3795 10.6957 7.2001
O 6.5736 7.2001 8.8897
O 10.0692 8.8897 10.6957
O 6.5736 10.0692 8.3795
O 8.8897 10.6957 10.0692
O 7.2001 8.3795 10.6957
O 11.1902 12.9868 11.1902
O 11.1902 11.1902 12.9868
O 12.9868 12.9868 12.9868
```

Computed properties:
Energy relative to the elements, uncorrected: -1.748 eV per atom
Raw total energy: -207.93 eV per formula unit
Symmetry: Fd-3

---

8.
Na2CrCSO7: relaxed, PBEsol.

```
24
Lattice="5.0628 0.0000 0.0000 0.0000 7.2457 0.0000 -0.2720 0.0000 8.6494" Properties=species:S:1:pos:R:3 pbc="T T T"
Na 1.1505 0.0173 2.4313
Na 1.1505 3.6055 2.4313
Na 3.6402 3.6402 6.2181
Na 3.6402 7.2284 6.2181
Cr 0.8613 1.8114 7.4818
Cr 3.9295 5.4343 1.1676
C 1.2342 1.8114 5.0795
C 3.5566 5.4343 3.5699
S 1.1608 5.4343 7.7768
S 3.6300 1.8114 0.8726
O 0.0468 1.8114 5.6424
O 0.7806 5.4343 0.4843
O 0.7915 4.2162 7.0401
O 0.7915 6.6523 7.0401
O 1.4293 1.8114 3.8422
O 2.1320 1.8114 0.6321
O 2.2067 1.8114 5.9743
O 2.5841 5.4343 2.6751
O 2.6587 5.4343 8.0172
O 3.3615 5.4343 4.8072
O 3.9993 0.5934 1.6093
O 3.9993 3.0294 1.6093
O 4.0102 1.8114 8.1651
O 4.7440 5.4343 3.0070
```

Computed properties:
Energy relative to the elements, uncorrected: -1.585 eV per atom
Raw total energy: -82.84 eV per formula unit
Symmetry: P2_1/m

---

9.
Na6Cr2C4SO16: relaxed, PBEsol.

```
58
Lattice="0.0000 6.9514 6.9514 6.9514 0.0000 6.9514 6.9514 6.9514 0.0000" Properties=species:S:1:pos:R:3 pbc="T T T"
Na 5.2136 5.2136 1.2793
Na 5.2136 1.2793 5.2136
Na 9.1478 5.2136 5.2136
Na 8.6893 8.6893 4.7550
Na 8.6893 4.7550 8.6893
Na 12.6235 8.6893 8.6893
Na 1.2793 5.2136 5.2136
Na 5.2136 9.1478 5.2136
Na 5.2136 5.2136 9.1478
Na 4.7550 8.6893 8.6893
Na 8.6893 12.6235 8.6893
Na 8.6893 8.6893 12.6235
Cr 6.9514 3.4757 3.4757
Cr 3.4757 6.9514 3.4757
Cr 3.4757 3.4757 6.9514
Cr 6.9514 6.9514 6.9514
C 3.9032 3.9032 3.9032
C 6.5239 6.5239 3.9032
C 6.5239 3.9032 6.5239
C 9.9996 7.3789 7.3789
C 3.9032 6.5239 6.5239
C 7.3789 9.9996 7.3789
C 7.3789 7.3789 9.9996
C 9.9996 9.9996 9.9996
S 1.7379 1.7379 1.7379
S 12.1650 12.1650 12.1650
O 0.8762 0.8762 0.8762
O 2.5995 2.5995 0.8762
O 2.5995 0.8762 2.5995
O 4.8974 3.7042 3.0904
O 7.3367 5.5297 3.7042
O 6.7229 3.0904 5.5297
O 5.5297 6.7229 3.0904
O 3.7042 3.0904 4.8974
O 7.3367 4.8974 6.7229
O 0.8762 2.5995 2.5995
O 9.0054 7.1799 6.5661
O 10.8124 8.3732 7.1799
O 10.1986 6.5661 8.3732
O 3.0904 4.8974 3.7042
O 6.7229 7.3367 4.8974
O 5.5297 3.7042 7.3367
O 8.3732 10.1986 6.5661
O 7.1799 6.5661 9.0054
O 10.8124 9.0054 10.1986
O 3.7042 7.3367 5.5297
O 3.0904 5.5297 6.7229
O 4.8974 6.7229 7.3367
O 13.0267 11.3033 11.3033
O 6.5661 9.0054 7.1799
O 10.1986 10.8124 9.0054
O 8.3732 7.1799 10.8124
O 7.1799 10.8124 8.3732
O 6.5661 8.3732 10.1986
O 9.0054 10.1986 10.8124
O 11.3033 13.0267 11.3033
O 11.3033 11.3033 13.0267
O 13.0267 13.0267 13.0267
```

Computed properties:
Energy relative to the elements, uncorrected: -1.630 eV per atom
Raw total energy: -203.09 eV per formula unit
Symmetry: Fd-3

---

10.
Na3CrSiCO7: relaxed, PBEsol.

```
26
Lattice="5.1814 0.0000 0.0000 0.0000 6.5341 0.0000 -0.3182 0.0000 8.8135" Properties=species:S:1:pos:R:3 pbc="T T T"
Na 1.1256 1.6335 0.7822
Na 1.1271 3.3699 6.3373
Na 1.1271 6.4312 6.3373
Na 3.7361 0.1029 2.4761
Na 3.7361 3.1642 2.4761
Na 3.7376 4.9006 8.0313
Cr 1.0114 4.9006 2.9815
Cr 3.8518 1.6335 5.8319
Si 1.3169 1.6335 3.7196
Si 3.5462 4.9006 5.0938
C 1.4686 4.9006 0.5431
C 3.3946 1.6335 8.2703
O 0.2670 4.9006 1.0474
O 0.4246 1.6335 5.0803
O 1.0180 0.3354 2.7525
O 1.0180 2.9317 2.7525
O 1.3561 4.9006 8.0973
O 1.9494 4.9006 4.6750
O 2.4416 4.9006 1.4123
O 2.4216 1.6335 7.4012
O 2.9138 1.6335 4.1384
O 3.5071 1.6335 0.7162
O 3.8452 3.6024 6.0610
O 3.8452 6.1987 6.0610
O 4.4386 4.9006 3.7332
O 4.5962 1.6335 7.7660
```

Computed properties:
Energy relative to the elements, uncorrected: -2.030 eV per atom
Raw total energy: -92.97 eV per formula unit
Symmetry: P2_1/m

---

11.
Nb4CrC2S4: relaxed, PBEsol.

```
11
Lattice="5.7013 0.0000 0.0000 0.0000 3.2954 0.0000 -1.8508 0.0000 8.3894" Properties=species:S:1:pos:R:3 pbc="T T T"
Nb -0.0001 0.0000 3.0615
Nb 0.9584 1.6477 5.3361
Nb 2.8921 1.6477 3.0533
Nb 3.8506 0.0000 5.3278
Cr 0.0000 0.0000 0.0000
C -0.9254 1.6477 4.1947
C 1.9253 0.0000 4.1947
S 0.9954 1.6477 1.3342
S 0.0375 0.0000 7.0165
S 3.8130 0.0000 1.3729
S 2.8552 1.6477 7.0551
```

Computed properties:
Energy relative to the elements, uncorrected: -0.894 eV per atom
Raw total energy: -100.19 eV per formula unit
Symmetry: P2/m

---

12.
RbCr2NiC: relaxed, PBEsol.

```
5
Lattice="5.1890 0.0000 0.0000 0.0000 5.1890 0.0000 0.0000 0.0000 4.3961" Properties=species:S:1:pos:R:3 pbc="T T T"
Rb 0.0000 0.0000 0.0000
Cr 0.0000 2.5945 0.0000
Cr 2.5945 0.0000 0.0000
Ni 0.0000 0.0000 2.1981
C 2.5945 2.5945 2.1981
```

Computed properties:
Calculated formation energy: 3662 meV per atom
Raw total energy: -19.00 eV per formula unit
Symmetry: P4/mmm

---

13.
CrCO2: relaxed, PBEsol.

```
4
Lattice="1.5116 0.8727 9.1833 -1.5116 0.8727 9.1833 0.0000 -1.7455 9.1833" Properties=species:S:1:pos:R:3 pbc="T T T"
Cr 0.0000 0.0000 0.0000
C 0.0000 0.0000 13.7749
O 0.0000 0.0000 12.5987
O 0.0000 0.0000 14.9512
```

Computed properties:
Energy relative to the elements, uncorrected: -0.074 eV per atom
Raw total energy: -30.68 eV per formula unit
Symmetry: R-3m

---

14.
Cr2CO: relaxed, PBEsol.

```
4
Lattice="0.0000 2.5165 2.5165 2.5165 0.0000 2.5165 2.5165 2.5165 0.0000" Properties=species:S:1:pos:R:3 pbc="T T T"
Cr 1.2583 1.2583 1.2583
Cr 3.7748 3.7748 3.7748
C 0.0000 0.0000 0.0000
O 2.5165 2.5165 2.5165
```

Computed properties:
Energy relative to the elements, uncorrected: -0.085 eV per atom
Raw total energy: -35.72 eV per formula unit
Symmetry: Fm-3m

---

15.
CrPCO2: relaxed, PBEsol.

```
5
Lattice="3.4096 0.0000 0.0000 0.0000 3.4096 0.0000 0.0000 0.0000 5.0247" Properties=species:S:1:pos:R:3 pbc="T T T"
Cr 0.0000 0.0000 0.0000
P 0.0000 0.0000 2.5124
C 1.7048 1.7048 2.5124
O 0.0000 1.7048 0.0000
O 1.7048 0.0000 0.0000
```

Computed properties:
Energy relative to the elements, uncorrected: 0.230 eV per atom
Raw total energy: -35.03 eV per formula unit
Symmetry: P4/mmm

---

16.
Cr3OsC: relaxed, PBEsol.

```
5
Lattice="3.7864 0.0000 0.0000 0.0000 3.7864 0.0000 0.0000 0.0000 3.7864" Properties=species:S:1:pos:R:3 pbc="T T T"
Cr 0.0000 0.0000 1.8932
Cr 0.0000 1.8932 0.0000
Cr 1.8932 0.0000 0.0000
Os 1.8932 1.8932 1.8932
C 0.0000 0.0000 0.0000
```

Computed properties:
Calculated formation energy: 46 meV per atom
Raw total energy: -52.36 eV per formula unit
Symmetry: Pm-3m